[1]
# Pr5ErSe6 GGA-PBE relaxed
# * total energy: -0.21811 Ha/atom
# * size of the total moment: 0.00 μB/f.u.
# * symmetry: No. 12
data_Pr5ErSe6
_chemical_formula_sum 'Pr5 Er1 Se6'
_cell_length_a 7.314
_cell_length_b 7.328
_cell_length_c 7.330
_cell_angle_alpha 60.01
_cell_angle_beta 80.38
_cell_angle_gamma 70.48
_space_group_name_H-M_alt 'P 1'
_space_group_IT_number 1
loop_
_space_group_symop_operation_xyz
'x,y,z'
loop_
_atom_site_label
_atom_site_fract_x
_atom_site_fract_y
_atom_site_fract_z
_atom_site_occupancy
Se1 0.759 0.080 0.320 1
Er1 0.000 0.000 0.000 1
Se2 0.753 0.762 0.000 1
Se3 0.241 0.600 0.320 1
Pr1 0.000 0.332 0.336 1
Se4 0.241 0.920 0.680 1
Pr2 0.000 0.668 0.664 1
Se5 0.247 0.238 0.000 1
Pr3 0.500 0.174 0.651 1
Pr4 0.500 0.500 0.000 1
Pr5 0.500 0.826 0.349 1
Se6 0.759 0.400 0.680 1

***

[2]
# PrEr2Se GGA-PBE relaxed
# * relative energy among the computed polymorphs: 0.0000 eV/atom
# * size of the total moment: 0.30 μB/f.u.
# * symmetry: No. 160
data_PrEr2Se
_chemical_formula_sum 'Pr1 Er2 Se1'
_cell_length_a 3.772
_cell_length_b 3.772
_cell_length_c 9.838
_cell_angle_alpha 78.95
_cell_angle_beta 78.95
_cell_angle_gamma 60.00
_space_group_name_H-M_alt 'P 1'
_space_group_IT_number 1
loop_
_space_group_symop_operation_xyz
'x,y,z'
loop_
_atom_site_label
_atom_site_fract_x
_atom_site_fract_y
_atom_site_fract_z
_atom_site_occupancy
Pr1 0.500 0.500 0.501 1
Se1 0.667 0.667 0.000 1
Er1 0.269 0.269 0.192 1
Er2 0.064 0.064 0.808 1

***

Which of these has the lowest size of the total moment?
Pr5ErSe6

***

Among the records above, which one has the lowest size of the total moment?
Pr5ErSe6